# 1
First-principles (PBE) data for a geometry-optimized K2ZnAs structure, as listed in the Alexandria database.

Summary:
The polymorph energy (0 for the lowest one) is 505.4 meV per atom. As for the density of states at the Fermi level: 5.61 states/eV per cell. The formation energy is 5.66 kcal/mol of atoms.

```
data_K2ZnAs
_chemical_formula_sum 'K8 Zn4 As4'
_symmetry_space_group_name_H-M 'I -4 2 d'
_symmetry_Int_Tables_number 122
_symmetry_space_group_name_Hall 'I -4 2bw'
_cell_length_a 4.898
_cell_length_b 4.898
_cell_length_c 21.958
_cell_angle_alpha 90.00
_cell_angle_beta 90.00
_cell_angle_gamma 90.00
loop_
_atom_site_label
_atom_site_type_symbol
_atom_site_fract_x
_atom_site_fract_y
_atom_site_fract_z
_atom_site_occupancy
K1 K 0.247 0.250 0.125 1
Zn1 Zn 0.000 0.000 0.500 1
As1 As 0.000 0.000 0.000 1
```

# 2
First-principles (PBE) data for a geometry-optimized PmNd2SmBi5 structure, as listed in the Alexandria database.

Summary:
As for the density of states at the Fermi level: 6.53 states/eV per cell. The formation energy is -1.89 kcal/mol of atoms.

```
data_PmNd2SmBi5
_chemical_formula_sum 'Pm1 Nd2 Sm1 Bi5'
_symmetry_space_group_name_H-M 'P 4/m m m'
_symmetry_Int_Tables_number 123
_symmetry_space_group_name_Hall '-P 4 2'
_cell_length_a 5.508
_cell_length_b 5.508
_cell_length_c 12.099
_cell_angle_alpha 90.00
_cell_angle_beta 90.00
_cell_angle_gamma 90.00
loop_
_atom_site_label
_atom_site_type_symbol
_atom_site_fract_x
_atom_site_fract_y
_atom_site_fract_z
_atom_site_occupancy
Pm1 Pm 0.000 0.000 0.000 1
Nd1 Nd 0.500 0.500 0.273 1
Sm1 Sm 0.000 0.000 0.500 1
Bi1 Bi 0.000 0.000 0.247 1
Bi2 Bi 0.000 0.500 0.500 1
Bi3 Bi 0.500 0.500 0.000 1
```